Record 1
## YS2ClF (PBE-GGA)

Data for a relaxed structure of YS2ClF.

Unit cell a=5.403 b=5.403 c=5.176 alpha=90.00 beta=90.00 gamma=90.00
Fractional coordinates of all 5 atoms:
Y1 0.000 0.000 0.000
S1 0.000 0.500 0.000
S2 0.500 0.000 0.000
Cl1 0.000 0.000 0.500
F1 0.500 0.500 0.500

Properties
Density ... 2.3 Mg/m³
E_form (uncorrected) ... -3.3 eV/f.u.
Magnetization ... 3.0 μB per formula unit
Space group ... No. 123

Record 2
## K2PtO6 (PBE-GGA)

Data for a relaxed structure of K2PtO6.

Unit cell a=4.948 b=4.948 c=4.948 alpha=83.23 beta=83.23 gamma=83.23
Fractional coordinates of all 9 atoms:
K1 0.152 0.152 0.152
K2 0.848 0.848 0.848
Pt1 0.500 0.500 0.500
O1 0.094 0.423 0.596
O2 0.404 0.906 0.577
O3 0.423 0.596 0.094
O4 0.577 0.404 0.906
O5 0.596 0.094 0.423
O6 0.906 0.577 0.404

Properties
Density ... 5.2 Mg/m³
E_form (uncorrected) ... -5.7 eV/f.u.
Magnetization ... 0.0 μB per formula unit
Space group ... No. 148

Record 3
## CaYTe2 (PBE-GGA)

Data for a relaxed structure of CaYTe2.

Unit cell a=8.131 b=8.131 c=8.131 alpha=30.77 beta=30.77 gamma=30.77
Fractional coordinates of all 4 atoms:
Ca1 0.000 0.000 0.000
Y1 0.172 0.172 0.172
Te1 0.584 0.584 0.584
Te2 0.757 0.757 0.757

Properties
Density ... 5.1 Mg/m³
E_form (uncorrected) ... -5.7 eV/f.u.
Magnetization ... 0.0 μB per formula unit
Space group ... No. 160

Record 4
## CdAg2Br (PBE-GGA)

Data for a relaxed structure of CdAg2Br.

Unit cell a=4.608 b=3.394 c=5.965 alpha=90.00 beta=102.18 gamma=90.00
Fractional coordinates of all 4 atoms:
Cd1 0.000 0.000 0.000
Ag1 0.500 0.000 0.500
Ag2 0.500 0.500 0.000
Br1 0.000 0.500 0.500

Properties
Density ... 7.4 Mg/m³
E_form (uncorrected) ... 0.2 eV/f.u.
Magnetization ... 0.0 μB per formula unit
Space group ... No. 10

Record 5
## CaPr8Sb6 (PBE-GGA)

Data for a relaxed structure of CaPr8Sb6.

Unit cell a=9.679 b=9.679 c=9.679 alpha=52.05 beta=52.05 gamma=52.05
Fractional coordinates of all 15 atoms:
Ca1 0.000 0.000 0.000
Pr1 0.121 0.449 0.793
Pr2 0.207 0.879 0.551
Pr3 0.333 0.333 0.333
Pr4 0.449 0.793 0.121
Pr5 0.551 0.207 0.879
Pr6 0.667 0.667 0.667
Pr7 0.793 0.121 0.449
Pr8 0.879 0.551 0.207
Sb1 0.068 0.733 0.404
Sb2 0.267 0.596 0.932
Sb3 0.404 0.068 0.733
Sb4 0.596 0.932 0.267
Sb5 0.733 0.404 0.068
Sb6 0.932 0.267 0.596

Properties
Density ... 6.0 Mg/m³
E_form (uncorrected) ... -12.2 eV/f.u.
Magnetization ... 0.0 μB per formula unit
Space group ... No. 148

Record 6
## As2PdWBr (PBE-GGA)

Data for a relaxed structure of As2PdWBr.

Unit cell a=4.835 b=4.835 c=4.986 alpha=90.00 beta=90.00 gamma=90.00
Fractional coordinates of all 5 atoms:
As1 0.000 0.500 0.000
As2 0.500 0.000 0.000
Pd1 0.000 0.000 0.000
W1 0.500 0.500 0.500
Br1 0.000 0.000 0.500

Properties
Density ... 7.4 Mg/m³
E_form (uncorrected) ... 6.6 eV/f.u.
Magnetization ... 2.7 μB per formula unit
Space group ... No. 123

- Among the records above, which one has the highest magnetization?
  YS2ClF

- density of number 4 (CdAg2Br)?
  7.4 Mg/m³

- Which of these has the highest magnetization?
  YS2ClF